Entry 1:
! SrPu2IrN4 PBE optimized geometry; values from VASP
! D(E_F): 22.0 states/eV per cell
! total DFT energy (no corrections): -9.842 eV/atom
! symmetry: Cmcm, No. 63
! magnetic moment: 15.7 μB per cell
&SYSTEM
  ibrav = 0, nat = 16, ntyp = 4
/
ATOMIC_SPECIES
Sr 87.62 Sr.upf
N 14.01 N.upf
Pu 244.00 Pu.upf
Ir 192.22 Ir.upf
CELL_PARAMETERS angstrom
-1.1651 1.3312 3.0971
-3.4291 -4.8765 -1.2476
7.7975 -7.0037 5.9436
ATOMIC_POSITIONS crystal
Sr 0.0753 0.1506 0.7500
Sr 0.9247 0.8494 0.2500
N 0.5987 0.1974 0.2500
N 0.0000 0.0000 0.0000
N 0.7512 0.5025 0.5923
N 0.4013 0.8026 0.7500
N 0.7512 0.5025 0.9077
N 0.2488 0.4975 0.4077
N 0.0000 0.0000 0.5000
N 0.2488 0.4975 0.0923
Pu 0.3679 0.7358 0.5530
Pu 0.6321 0.2642 0.4470
Pu 0.3679 0.7358 0.9470
Pu 0.6321 0.2642 0.0530
Ir 0.1897 0.3794 0.2500
Ir 0.8103 0.6206 0.7500

***

Entry 2:
! PrThIr PBE optimized geometry; values from VASP
! ΔH_f (0 K): -44.9 kJ/mol of atoms
! D(E_F): 3.1 states/eV per cell
! total DFT energy (no corrections): -7.486 eV/atom
! symmetry: I4mm, No. 107
! magnetic moment: 0.0 μB per cell
&SYSTEM
  ibrav = 0, nat = 3, ntyp = 3
/
ATOMIC_SPECIES
Th 232.04 Th.upf
Pr 140.91 Pr.upf
Ir 192.22 Ir.upf
CELL_PARAMETERS angstrom
3.6937 0.0000 0.0000
0.0000 3.6937 0.0000
-1.8469 -1.8469 5.7557
ATOMIC_POSITIONS crystal
Th 0.6981 0.6981 0.3963
Pr 0.9905 0.9905 0.9809
Ir 0.3114 0.3114 0.6228

***

Entry 3:
! Tl2GaRu2 PBE optimized geometry; values from VASP
! ΔH_f (0 K): 19.9 kJ/mol of atoms
! D(E_F): 7.9 states/eV per cell
! total DFT energy (no corrections): -5.056 eV/atom
! symmetry: P4/mbm, No. 127
! magnetic moment: 0.0 μB per cell
&SYSTEM
  ibrav = 0, nat = 10, ntyp = 3
/
ATOMIC_SPECIES
Tl 204.38 Tl.upf
Ru 101.07 Ru.upf
Ga 69.72 Ga.upf
CELL_PARAMETERS angstrom
-4.9412 -3.0589 -3.1388
-2.2492 -2.2900 5.7725
-2.4406 3.4954 0.4357
ATOMIC_POSITIONS crystal
Tl 0.1651 0.6651 0.5000
Tl 0.6651 0.8349 0.5000
Tl 0.8349 0.3349 0.5000
Tl 0.3349 0.1651 0.5000
Ru 0.8555 0.6445 0.0000
Ru 0.6445 0.1445 0.0000
Ru 0.1445 0.3555 0.0000
Ru 0.3555 0.8555 0.0000
Ga 0.0000 0.0000 0.0000
Ga 0.5000 0.5000 0.0000

***

Entry 4:
! CaLaHgGe PBE optimized geometry; values from VASP
! ΔH_f (0 K): -58.3 kJ/mol of atoms
! D(E_F): 3.4 states/eV per cell
! total DFT energy (no corrections): -3.566 eV/atom
! symmetry: F-43m, No. 216
! magnetic moment: 0.0 μB per cell
&SYSTEM
  ibrav = 0, nat = 4, ntyp = 4
/
ATOMIC_SPECIES
Ge 72.64 Ge.upf
Ca 40.08 Ca.upf
Hg 200.59 Hg.upf
La 138.91 La.upf
CELL_PARAMETERS angstrom
-2.8721 1.1668 4.3611
-0.3280 -3.5272 4.0101
2.4682 0.9906 4.6429
ATOMIC_POSITIONS crystal
Ge 0.0000 0.0000 0.0000
Ca 0.7500 0.7500 0.7500
Hg 0.5000 0.5000 0.5000
La 0.2500 0.2500 0.2500

***

Entry 5:
! PmPaS2O PBE optimized geometry; values from VASP
! D(E_F): 7.4 states/eV per cell
! total DFT energy (no corrections): -7.822 eV/atom
! symmetry: P4/nmm, No. 129
! magnetic moment: 0.3 μB per cell
&SYSTEM
  ibrav = 0, nat = 10, ntyp = 4
/
ATOMIC_SPECIES
Pm 145.00 Pm.upf
Pa 231.04 Pa.upf
O 16.00 O.upf
S 32.06 S.upf
CELL_PARAMETERS angstrom
-0.2767 3.6253 1.4253
-2.3503 -1.2948 2.8373
10.8081 -2.2850 7.9103
ATOMIC_POSITIONS crystal
Pm 0.5000 0.0000 0.5901
Pm 0.0000 0.5000 0.4098
Pa 0.0000 0.5000 0.8941
Pa 0.5000 0.0000 0.1059
O 0.0000 0.0000 0.5000
O 0.5000 0.5000 0.5000
S 0.5000 0.0000 0.2959
S 0.0000 0.5000 0.1060
S 0.5000 0.0000 0.8940
S 0.0000 0.5000 0.7041

***

Entry 6:
! YZnGaFe2 PBE optimized geometry; values from VASP
! ΔH_f (0 K): 148.9 kJ/mol of atoms
! D(E_F): 4.7 states/eV per cell
! total DFT energy (no corrections): -3.995 eV/atom
! symmetry: P4/mmm, No. 123
! magnetic moment: 4.2 μB per cell
&SYSTEM
  ibrav = 0, nat = 5, ntyp = 4
/
ATOMIC_SPECIES
Ga 69.72 Ga.upf
Fe 55.84 Fe.upf
Zn 65.41 Zn.upf
Y 88.91 Y.upf
CELL_PARAMETERS angstrom
4.6542 0.0000 0.0000
0.0000 5.1707 0.0000
0.0000 0.0000 4.6542
ATOMIC_POSITIONS crystal
Ga 0.0000 0.5000 0.0000
Fe 0.5000 0.0000 0.0000
Fe 0.0000 0.0000 0.5000
Zn 0.5000 0.5000 0.5000
Y 0.0000 0.0000 0.0000